No. 1
Below is ErBe2Cu10 after structural relaxation, with properties calculated at the PBE level.

```
13
Lattice="-4.648 -0.183 0.731 -1.383 -0.529 6.242 -2.481 5.699 0.821" Properties=species:S:1:pos:R:3 pbc="T T T"
Be -3.015 -0.356 3.486
Be -0.691 -0.264 3.121
Cu -1.775 1.608 4.286
Cu -4.364 1.640 2.998
Cu -4.550 4.263 2.468
Cu -4.148 3.347 4.796
Cu -2.137 1.047 1.843
Cu -3.961 0.724 5.325
Cu -6.737 3.378 3.507
Cu -3.564 2.758 0.776
Cu -1.240 2.849 0.411
Cu -6.375 3.940 5.951
Er 0.000 0.000 0.000
```

Results
SG = Fmmm
Energy of formation = -0.12 eV/atom
DOS(E_F) = 3.69 states/eV/cell



No. 2
Below is Er5BeCu4 after structural relaxation, with properties calculated at the PBE level.

```
10
Lattice="-2.691 2.060 0.401 0.009 -0.640 3.352 10.569 13.322 2.515" Properties=species:S:1:pos:R:3 pbc="T T T"
Cu 4.225 5.326 1.006
Cu 2.066 2.604 0.492
Cu 8.503 10.718 2.024
Cu 6.344 7.996 1.510
Er -0.324 1.992 2.118
Er 8.211 12.750 4.150
Er 3.944 7.371 3.134
Er 1.806 4.676 2.625
Er 6.081 10.065 3.643
Be 0.000 0.000 0.000
```

Results
SG = P4/mmm
Energy of formation = -0.21 eV/atom
DOS(E_F) = 4.81 states/eV/cell



No. 3
Below is ErBe2Cu9 after structural relaxation, with properties calculated at the PBE level.

```
24
Lattice="-2.965 1.272 5.406 0.558 -5.501 5.266 4.305 3.595 5.181" Properties=species:S:1:pos:R:3 pbc="T T T"
Cu 3.376 -2.614 8.435
Cu 2.473 1.212 8.872
Cu -0.955 -1.682 7.673
Cu 0.558 1.990 7.639
Cu -0.375 1.507 5.408
Cu 0.583 -1.506 3.871
Cu 1.720 -3.817 6.871
Cu 2.040 2.385 5.587
Cu 4.293 -0.388 8.414
Cu -1.292 -0.719 5.429
Cu 1.694 0.710 11.291
Cu 0.000 0.000 0.000
Cu 0.777 -1.516 11.312
Cu 1.500 0.720 3.850
Cu -0.195 -3.039 5.638
Cu 0.960 -2.460 8.907
Cu 0.207 0.002 9.278
Cu 3.955 1.607 6.820
Be 0.774 2.435 9.933
Be 2.535 -0.952 9.863
Be -1.100 -2.113 9.975
Be -1.379 0.637 7.342
Er 1.690 -0.635 6.575
Er -1.483 0.636 2.703
```

Results
SG = I4_1/amd
Energy of formation = -0.12 eV/atom
DOS(E_F) = 8.89 states/eV/cell



No. 4
Below is ErBeCu3 after structural relaxation, with properties calculated at the PBE level.

```
10
Lattice="-0.574 1.435 -4.628 -3.775 -4.420 -0.902 -1.972 5.219 1.863" Properties=species:S:1:pos:R:3 pbc="T T T"
Cu -3.581 -2.263 -1.543
Cu -2.740 4.497 -2.124
Cu -1.871 2.199 -2.944
Cu -1.920 -0.317 -1.146
Cu -4.401 2.551 -2.521
Cu -4.450 0.035 -0.723
Be -0.287 0.718 -2.314
Be 0.000 0.000 0.000
Er -2.716 2.365 -0.216
Er -3.605 -0.131 -3.452
```

Results
SG = P6_3/mmc
Energy of formation = -0.12 eV/atom
DOS(E_F) = 4.34 states/eV/cell



No. 5
Below is ErBeCu2 after structural relaxation, with properties calculated at the PBE level.

```
4
Lattice="4.000 0.000 0.000 2.000 3.464 0.000 2.000 1.155 4.594" Properties=species:S:1:pos:R:3 pbc="T T T"
Er 0.000 0.000 0.000
Cu 2.000 1.155 1.811
Cu 5.999 3.464 2.783
Be 4.000 2.309 2.297
```

Results
SG = R-3m
Energy of formation = -0.16 eV/atom
DOS(E_F) = 2.87 states/eV/cell



No. 6
Below is Er2Be3GaCu12 after structural relaxation, with properties calculated at the PBE level.

```
18
Lattice="7.223 -0.135 -0.095 3.450 6.347 -0.095 3.450 2.008 6.022" Properties=species:S:1:pos:R:3 pbc="T T T"
Cu 10.625 6.184 2.223
Cu 10.625 4.143 5.102
Cu 3.499 2.037 3.608
Cu 8.849 7.193 5.102
Cu 6.705 3.903 5.338
Cu 5.310 5.516 3.913
Cu 8.814 2.705 1.918
Cu 6.705 6.328 1.918
Cu 5.274 1.028 0.729
Cu 3.499 4.079 0.729
Cu 7.419 1.893 3.913
Cu 7.419 4.318 0.493
Er 8.467 4.928 3.496
Er 5.657 3.293 2.336
Be 1.725 1.004 3.011
Be 1.725 3.174 -0.048
Be 3.612 -0.067 -0.048
Ga 0.000 0.000 0.000
```

Results
SG = R-3m
Energy of formation = 0.29 eV/atom
DOS(E_F) = 5.91 states/eV/cell